Entry 1:
K2YHg | PBE-GGA | relaxed

Lattice parameters (Å, degrees): 3.7930 6.7329 13.5678 90.00 90.00 90.00
Closest atoms and distances in Å follow each position.
Space group Imm2 (No. 44)
Symmetry-distinct sites (fractional):
K 0.0000 0.0000 0.0000  2 K 3.79, 4 Hg 3.88
K 0.0000 0.5000 0.1993  2 Hg 3.57, 2 K 3.79
Y 0.0000 0.5000 0.8075  2 Hg 2.98
Hg 0.0000 0.0000 0.4768  2 Y 2.98

## Properties
- Calculated formation energy: 0.170 eV/atom
- Theoretical density: 3.52 g/cm³



Entry 2:
Sm2GaB2Rh5 | PBE-GGA | relaxed

Lattice parameters (Å, degrees): 9.6084 9.6084 3.2173 90.00 90.00 90.00
Closest atoms and distances in Å follow each position.
Space group P4/mbm (No. 127)
Symmetry-distinct sites (fractional):
Sm 0.1765 0.3235 0.0000  3 B 2.74-2.91, 10 Rh 2.89-3.02
Ga 0.0000 0.0000 0.0000  8 Rh 2.75
B 0.1217 0.6217 0.0000  6 Rh 2.26-2.31
Rh 0.0000 0.5000 0.5000  4 B 2.31
Rh 0.0691 0.7790 0.5000  2 B 2.26

## Properties
- Calculated formation energy: -0.738 eV/atom
- Theoretical density: 10.14 g/cm³